Entry 1:
LiTmAlZn6 | PBE | relaxed

a b c (Å): 6.8508 8.9287 10.9636
angles (deg): 90.00 90.00 90.00
Last column: nearest neighbours and their distance in Å.
Space group Imma (No. 74)
Unique sites:
Li (0.2500, 0.2500, 0.2500) [4 per cell]  6 Zn 2.53-2.79
Tm (0.0000, 0.2500, 0.6990) [4 per cell]  9 Zn 3.05-3.07, 2 Al 3.12
Al (0.0000, 0.0000, 0.5000) [4 per cell]  6 Zn 2.40-2.59
Zn (0.0000, 0.2500, 0.0160) [4 per cell]  8 Zn 2.89-3.01, 2 Li 3.08
Zn (0.0000, 0.2500, 0.4203) [4 per cell]  2 Al 2.40, 2 Li 2.53
Zn (0.1848, 0.0214, 0.8701) [16 per cell]  2 Zn 2.53-2.78, 1 Al 2.59, 1 Li 2.79

Properties
- ρ: 5.9 g cm⁻³
- ΔH_f (0 K): -0.001 eV/atom
- Energy: -1.9754 eV per atom

=====

Entry 2:
LiTmAl2Zn4 | PBE | relaxed

a b c (Å): 4.4557 4.4557 23.1753
angles (deg): 90.00 90.00 120.00
Last column: nearest neighbours and their distance in Å.
Space group R-3m (No. 166, hexagonal axes)
Unique sites:
Li (0.0000, 0.0000, 0.0000) [3 per cell]  8 Zn 2.58-2.70
Tm (0.0000, 0.0000, 0.5000) [3 per cell]  8 Zn 2.88-3.04
Al (0.0000, 0.0000, 0.2508) [6 per cell]  7 Zn 2.66-2.79
Zn (0.0000, 0.0000, 0.1113) [6 per cell]  1 Li 2.58, 3 Al 2.66, 3 Tm 2.88
Zn (0.0000, 0.0000, 0.3689) [6 per cell]  3 Li 2.70, 4 Al 2.74-2.79

Properties
- ρ: 6.1 g cm⁻³
- ΔH_f (0 K): -0.233 eV/atom
- Energy: -2.6036 eV per atom

=====

Entry 3:
Li2UAl9 | PBE | relaxed

a b c (Å): 4.1281 4.1281 12.2892
angles (deg): 90.00 90.00 90.00
Last column: nearest neighbours and their distance in Å.
Space group P4/mmm (No. 123)
Unique sites:
Li (0.0000, 0.0000, 0.1638) [2 per cell]  12 Al 2.83-2.92
U (0.0000, 0.0000, 0.5000) [1 per cell]  12 Al 2.92-3.01
Al (0.0000, 0.5000, 0.0000) [2 per cell]  8 Al 2.85-2.92, 4 Li 2.88
Al (0.0000, 0.5000, 0.3215) [4 per cell]  2 Li 2.83, 8 Al 2.86-3.01, 2 U 3.01
Al (0.5000, 0.5000, 0.1604) [2 per cell]  8 Al 2.85-2.86, 4 Li 2.92
Al (0.5000, 0.5000, 0.5000) [1 per cell]  4 U 2.92, 8 Al 3.01

Properties
- ρ: 3.9 g cm⁻³
- ΔH_f (0 K): -0.079 eV/atom
- Energy: -4.1456 eV per atom